(1)
A geometry-optimized FeCuHg2 structure, computed with PBE.

Cell: 4.6756 4.6756 3.0886 Å, 90.00 90.00 90.00°
Atoms (fractional coordinates):
Hg  0.0000  0.0000  0.0000
Hg  0.5000  0.5000  0.0000
Fe  0.0000  0.5000  0.5000
Cu  0.5000  0.0000  0.5000

DFT total energy: -2.923 eV/atom
Magnetization: 2.7 μB/f.u.
Crystal system: tetragonal
Excess energy over the best structure of this formula in the dataset: 0.051 eV per atom
Energy of formation: 0.37 eV/atom

***

(2)
A geometry-optimized Nd2CuNi16 structure, computed with PBE.

Cell: 6.3073 6.3073 6.3073 Å, 83.25 83.25 83.25°
Atoms (fractional coordinates):
Ni  0.1523  0.6558  0.6558
Ni  0.2909  0.7093  0.9999
Ni  0.0012  0.0012  0.4979
Ni  0.3436  0.3436  0.8474
Ni  0.9999  0.7093  0.2909
Ni  0.8474  0.3436  0.3436
Ni  0.9999  0.2909  0.7093
Ni  0.0012  0.4979  0.0012
Ni  0.4979  0.0012  0.0012
Ni  0.7093  0.2909  0.9999
Ni  0.0995  0.0995  0.0995
Ni  0.2909  0.9999  0.7093
Ni  0.3436  0.8474  0.3436
Ni  0.6558  0.1523  0.6558
Ni  0.6558  0.6558  0.1523
Ni  0.7093  0.9999  0.2909
Nd  0.3409  0.3409  0.3409
Nd  0.6579  0.6579  0.6579
Cu  0.9026  0.9026  0.9026

DFT total energy: -5.749 eV/atom
Magnetization: 6.3 μB/f.u.
Crystal system: trigonal
Energy of formation: -0.16 eV/atom

***

(3)
A geometry-optimized ZrIn2Sb structure, computed with PBE.

Cell: 5.6866 5.6866 5.6472 Å, 82.91 82.91 32.40°
Atoms (fractional coordinates):
Zr  0.2517  0.2517  0.2690
In  0.9903  0.9903  0.9921
In  0.7433  0.7433  0.7727
Sb  0.5146  0.5146  0.4662

DFT total energy: -4.682 eV/atom
Magnetization: 0.0 μB/f.u.
Crystal system: monoclinic
Energy relative to the elements, uncorrected: -3.36 kcal/mol of atoms

***

(4)
A geometry-optimized Li2TcPb structure, computed with PBE.

Cell: 9.6818 9.6818 9.6818 Å, 18.34 18.34 18.34°
Atoms (fractional coordinates):
Tc  0.7484  0.7484  0.7484
Li  0.2497  0.2497  0.2497
Li  0.0060  0.0060  0.0060
Pb  0.4959  0.4959  0.4959

DFT total energy: -4.054 eV/atom
Magnetization: 1.1 μB/f.u.
Crystal system: trigonal
Energy of formation: 0.42 eV/atom

***

(5)
A geometry-optimized NaVCuTe2 structure, computed with PBE.

Cell: 5.3235 8.1057 5.8721 Å, 105.65 90.00 90.00°
Atoms (fractional coordinates):
Cu  0.0000  0.0000  0.0000
Cu  0.0000  0.0000  0.5000
Te  0.7133  0.7518  0.9046
Te  0.7133  0.2482  0.5954
Te  0.2867  0.7518  0.4046
Te  0.2867  0.2482  0.0954
Na  0.7800  0.5000  0.2500
Na  0.2200  0.5000  0.7500
V  0.5022  0.0000  0.2500
V  0.4978  0.0000  0.7500

DFT total energy: -4.371 eV/atom
Magnetization: 1.3 μB/f.u.
Crystal system: monoclinic
Energy relative to the elements, uncorrected: -4.80 kcal/mol of atoms

***

(6)
A geometry-optimized SrMn2Tl structure, computed with PBE.

Cell: 4.9741 4.9741 10.2719 Å, 75.99 75.99 90.00°
Atoms (fractional coordinates):
Mn  0.3750  0.1248  0.7500
Mn  0.8748  0.6250  0.2500
Mn  0.8750  0.1252  0.7500
Mn  0.8753  0.1250  0.2500
Tl  0.0000  0.0000  0.0000
Tl  0.7500  0.2500  0.5000
Sr  0.5000  0.5000  0.0000
Sr  0.2500  0.7500  0.5000

DFT total energy: -4.975 eV/atom
Magnetization: 7.0 μB/f.u.
Crystal system: tetragonal
Excess energy over the best structure of this formula in the dataset: 0.233 eV per atom
Energy of formation: 0.62 eV/atom

***

(7)
A geometry-optimized Be2AlRh3 structure, computed with PBE.

Cell: 2.8665 2.8665 8.5713 Å, 90.00 90.00 90.00°
Atoms (fractional coordinates):
Be  0.5000  0.5000  0.8444
Be  0.5000  0.5000  0.1556
Rh  0.0000  0.0000  0.6799
Rh  0.0000  0.0000  0.3201
Rh  0.0000  0.0000  0.0000
Al  0.5000  0.5000  0.5000

DFT total energy: -6.327 eV/atom
Magnetization: 0.0 μB/f.u.
Crystal system: tetragonal
Energy of formation: -0.79 eV/atom

***

(8)
A geometry-optimized V2MoPd structure, computed with PBE.

Cell: 3.0771 3.0771 12.3002 Å, 90.00 89.93 90.00°
Atoms (fractional coordinates):
V  0.2489  0.2500  0.6940
V  0.7500  0.7500  0.0634
V  0.7511  0.7500  0.3060
V  0.2500  0.2500  0.9366
Mo  0.7496  0.7500  0.8153
Mo  0.2504  0.2500  0.1847
Pd  0.2504  0.2500  0.4245
Pd  0.7496  0.7500  0.5755

DFT total energy: -8.735 eV/atom
Magnetization: 0.0 μB/f.u.
Crystal system: monoclinic
Energy of formation: -0.17 eV/atom

***

(9)
A geometry-optimized ZnReCl structure, computed with PBE.

Cell: 4.2653 4.2653 4.2653 Å, 60.00 60.00 60.00°
Atoms (fractional coordinates):
Zn  0.0000  0.0000  0.0000
Re  0.7500  0.7500  0.7500
Cl  0.5000  0.5000  0.5000

DFT total energy: -3.858 eV/atom
Magnetization: 1.3 μB/f.u.
Crystal system: cubic
Excess energy over the best structure of this formula in the dataset: 0.924 eV per atom
Energy relative to the elements, uncorrected: 30.70 kcal/mol of atoms

***

(10)
A geometry-optimized Ta2BeAl structure, computed with PBE.

Cell: 9.1857 9.1857 9.1857 Å, 17.95 17.95 17.95°
Atoms (fractional coordinates):
Ta  0.2465  0.2465  0.2465
Ta  0.0084  0.0084  0.0084
Al  0.4919  0.4919  0.4919
Be  0.7533  0.7533  0.7533

DFT total energy: -7.550 eV/atom
Magnetization: 0.0 μB/f.u.
Crystal system: trigonal
Excess energy over the best structure of this formula in the dataset: 0.421 eV per atom
Energy of formation: 0.24 eV/atom

***

(11)
A geometry-optimized Rb2AuCCl6 structure, computed with PBE.

Cell: 6.9912 6.9912 6.9698 Å, 59.90 59.90 90.00°
Atoms (fractional coordinates):
Cl  0.7354  0.7354  0.5291
Cl  0.7378  0.2622  0.0000
Cl  0.7378  0.7378  0.0000
Cl  0.2622  0.7378  0.0000
Cl  0.2646  0.2646  0.4709
Cl  0.2622  0.2622  0.0000
Rb  0.7500  0.2500  0.5000
Rb  0.2500  0.7500  0.5000
C  0.5000  0.5000  0.0000
Au  0.0000  0.0000  0.0000

DFT total energy: -2.996 eV/atom
Magnetization: 0.0 μB/f.u.
Crystal system: tetragonal
Energy relative to the elements, uncorrected: -10.24 kcal/mol of atoms

***

(12)
A geometry-optimized MnZn2Ag structure, computed with PBE.

Cell: 8.9777 8.9777 8.9777 Å, 18.19 18.19 18.19°
Atoms (fractional coordinates):
Zn  0.4960  0.4960  0.4960
Zn  0.0040  0.0040  0.0040
Ag  0.2500  0.2500  0.2500
Mn  0.7500  0.7500  0.7500

DFT total energy: -3.572 eV/atom
Magnetization: 3.3 μB/f.u.
Crystal system: trigonal
Energy of formation: 0.07 eV/atom